1.
VASP calculation (GGA-PBE) on a relaxed structure of HgRu2Br.

As for the density of states at the Fermi level: 19.688 states/eV per cell. Its crystal system is cubic. The energy relative to the elements, uncorrected comes out at 1079 meV/atom.

The space group is Fm-3m (No. 225) and the conventional cell measures 6.504, 6.504 and 6.504 Å, with angles of 90.00, 90.00 and 90.00 degrees. The asymmetric unit holds Hg at (0.000, 0.000, 0.000), Ru at (0.250, 0.250, 0.250) and Br at (0.000, 0.000, 0.500).

---

2.
VASP calculation (GGA-PBE) on a relaxed structure of Hg2RuBr.

As for the density of states at the Fermi level: 21.925 states/eV per cell. Its crystal system is cubic. The energy relative to the elements, uncorrected comes out at 794 meV/atom.

The space group is F-43m (No. 216) and the conventional cell measures 6.955, 6.955 and 6.955 Å, with angles of 90.00, 90.00 and 90.00 degrees. The asymmetric unit holds Hg at (0.000, 0.000, 0.000), Hg at (0.250, 0.250, 0.250), Ru at (0.250, 0.250, 0.750) and Br at (0.000, 0.000, 0.500).

---

3.
VASP calculation (GGA-PBE) on a relaxed structure of HgRuBr.

As for the density of states at the Fermi level: 11.101 states/eV per cell. Its crystal system is cubic. The energy relative to the elements, uncorrected comes out at 775 meV/atom.

The space group is F-43m (No. 216) and the conventional cell measures 6.539, 6.539 and 6.539 Å, with angles of 90.00, 90.00 and 90.00 degrees. The asymmetric unit holds Hg at (0.000, 0.000, 0.000), Ru at (0.250, 0.250, 0.750) and Br at (0.000, 0.000, 0.500).

---

4.
VASP calculation (GGA-PBE) on a relaxed structure of HgRu2Br.

As for the density of states at the Fermi level: 4.561 states/eV per cell. Its crystal system is tetragonal. The energy relative to the elements, uncorrected comes out at 882 meV/atom.

The space group is P4/mmm (No. 123) and the conventional cell measures 3.142, 3.142 and 6.794 Å, with angles of 90.00, 90.00 and 90.00 degrees. The asymmetric unit holds Hg at (0.000, 0.000, 0.000), Ru at (0.500, 0.500, 0.275) and Br at (0.000, 0.000, 0.500).

---

5.
VASP calculation (GGA-PBE) on a relaxed structure of Hg2RuBr.

As for the density of states at the Fermi level: 4.052 states/eV per cell. Its crystal system is orthorhombic. The energy relative to the elements, uncorrected comes out at 682 meV/atom.

The space group is Pmmm (No. 47) and the conventional cell measures 3.208, 4.724 and 5.771 Å, with angles of 90.00, 90.00 and 90.00 degrees. The asymmetric unit holds Hg at (0.000, 0.000, 0.000), Hg at (0.500, 0.500, 0.000), Ru at (0.000, 0.500, 0.500) and Br at (0.500, 0.000, 0.500).

---

6.
VASP calculation (GGA-PBE) on a relaxed structure of HgRu2Br.

As for the density of states at the Fermi level: 12.007 states/eV per cell. Its crystal system is monoclinic. The energy relative to the elements, uncorrected comes out at 1025 meV/atom.

The space group is C2/m (No. 12) and the conventional cell measures 5.944, 9.171 and 3.073 Å, with angles of 90.00, 120.39 and 90.00 degrees. The asymmetric unit holds Hg at (0.000, 0.000, 0.000), Ru at (0.250, 0.250, 0.500) and Br at (0.000, 0.500, 0.000).